Record 1
Crystalline CeBeV at its relaxed geometry. Source: the Alexandria database, functional PBE.

The structure belongs to space group Pmma (No. 51); the cell edges are 6.288, 4.778 and 3.550 Å and the angles 90.00°, 90.00° and 90.00°. Symmetry generates all atoms from Ce at (0.250, 0.000, 0.186), Be at (0.250, 0.500, 0.535) and V at (0.000, 0.500, 0.000).

The density of states at the Fermi level is 7.9 states/eV/cell. As for the crystal system: orthorhombic. The formation energy is 39 kJ/mol of atoms.

Record 2
Crystalline Zn2FeRh at its relaxed geometry. Source: the Alexandria database, functional PBE.

The structure belongs to space group I-42d (No. 122); the cell edges are 6.795, 6.795 and 5.132 Å and the angles 90.00°, 90.00° and 90.00°. Symmetry generates all atoms from Zn at (0.245, 0.250, 0.125), Fe at (0.000, 0.000, 0.000) and Rh at (0.000, 0.000, 0.500).

The density of states at the Fermi level is 10.8 states/eV/cell. As for the crystal system: tetragonal. The formation energy is 21 kJ/mol of atoms.

Record 3
Crystalline Ac3In3Hg2 at its relaxed geometry. Source: the Alexandria database, functional PBE.

The structure belongs to space group Cmcm (No. 63); the cell edges are 5.064, 11.903 and 16.683 Å and the angles 90.00°, 90.00° and 90.00°. Symmetry generates all atoms from Ac at (0.000, 0.095, 0.108), Ac at (0.000, 0.363, 0.250), In at (0.000, 0.349, 0.750), In at (0.000, 0.386, 0.037) and Hg at (0.000, 0.202, 0.604).

The density of states at the Fermi level is 16.6 states/eV/cell. As for the crystal system: orthorhombic. The formation energy is -46 kJ/mol of atoms.

Record 4
Crystalline KY2Ag at its relaxed geometry. Source: the Alexandria database, functional PBE.

The structure belongs to space group C2/m (No. 12); the cell edges are 6.782, 11.979 and 3.454 Å and the angles 90.00°, 116.19° and 90.00°. Symmetry generates all atoms from K at (0.000, 0.000, 0.000), Y at (0.250, 0.250, 0.500) and Ag at (0.000, 0.500, 0.000).

The density of states at the Fermi level is 8.6 states/eV/cell. As for the crystal system: monoclinic. The formation energy is 37 kJ/mol of atoms.

Record 5
Crystalline BiBrCl2 at its relaxed geometry. Source: the Alexandria database, functional PBE.

The structure belongs to space group R-3m (No. 166, hexagonal axes); the cell edges are 3.7626, 3.7626 and 29.6515 Å and the angles 90.00°, 90.00° and 120.00°. Symmetry generates all atoms from Bi at (0.0000, 0.0000, 0.0000), Br at (0.0000, 0.0000, 0.5000) and Cl at (0.0000, 0.0000, 0.3996).

The density of states at the Fermi level is 10.8 states/eV/cell. As for the crystal system: trigonal. The formation energy from raw total energies comes out at -197 meV per atom.

Record 6
Crystalline MgCrTc2Sb at its relaxed geometry. Source: the Alexandria database, functional PBE.

The structure belongs to space group P4/mmm (No. 123); the cell edges are 4.889, 4.889 and 4.742 Å and the angles 90.00°, 90.00° and 90.00°. Symmetry generates all atoms from Mg at (0.000, 0.000, 0.000), Cr at (0.500, 0.500, 0.000), Tc at (0.000, 0.500, 0.500) and Sb at (0.500, 0.500, 0.500).

The density of states at the Fermi level is 9.1 states/eV/cell. As for the crystal system: tetragonal. The formation energy from raw total energies comes out at 1626 meV per atom.

Record 7
Crystalline Ti2ReO at its relaxed geometry. Source: the Alexandria database, functional PBE.

The structure belongs to space group I-42d (No. 122); the cell edges are 5.749, 5.749 and 7.319 Å and the angles 90.00°, 90.00° and 90.00°. Symmetry generates all atoms from Ti at (0.162, 0.250, 0.125), Re at (0.000, 0.000, 0.500) and O at (0.000, 0.000, 0.000).

The density of states at the Fermi level is 12.0 states/eV/cell. As for the crystal system: tetragonal. The formation energy from raw total energies comes out at -833 meV per atom.

Record 8
Crystalline BeSn3Br at its relaxed geometry. Source: the Alexandria database, functional PBE.

The structure belongs to space group Pm-3m (No. 221); the cell edges are 5.090, 5.090 and 5.090 Å and the angles 90.00°, 90.00° and 90.00°. Symmetry generates all atoms from Be at (0.000, 0.000, 0.000), Sn at (0.000, 0.000, 0.500) and Br at (0.500, 0.500, 0.500).

The density of states at the Fermi level is 6.3 states/eV/cell. As for the crystal system: cubic. The formation energy from raw total energies comes out at 271 meV per atom.

Record 9
Crystalline Ag8TeCl6 at its relaxed geometry. Source: the Alexandria database, functional PBE.

The structure belongs to space group R-3 (No. 148, hexagonal axes); the cell edges are 10.9671, 10.9671 and 10.2529 Å and the angles 90.00°, 90.00° and 120.00°. Symmetry generates all atoms from Ag at (0.0000, 0.0000, 0.2153), Ag at (0.0572, 0.2537, 0.6334), Te at (0.0000, 0.0000, 0.5000) and Cl at (0.0208, 0.2411, 0.1435).

The density of states at the Fermi level is 0.2 states/eV/cell. As for the crystal system: trigonal. The formation energy from raw total energies comes out at -338 meV per atom.

Record 10
Crystalline ZnTc at its relaxed geometry. Source: the Alexandria database, functional PBE.

The structure belongs to space group P6_3/mmc (No. 194); the cell edges are 4.2011, 4.2011 and 4.6519 Å and the angles 90.00°, 90.00° and 120.00°. Symmetry generates all atoms from Zn at (0.3333, 0.6667, 0.2500) and Tc at (0.0000, 0.0000, 0.0000).

The density of states at the Fermi level is 5.5 states/eV/cell. As for the crystal system: hexagonal. The formation energy is 85 kJ/mol of atoms.

Record 11
Crystalline LaBi2HRh at its relaxed geometry. Source: the Alexandria database, functional PBE.

The structure belongs to space group P4/mmm (No. 123); the cell edges are 6.348, 6.348 and 4.904 Å and the angles 90.00°, 90.00° and 90.00°. Symmetry generates all atoms from La at (0.000, 0.000, 0.000), Bi at (0.000, 0.500, 0.000), H at (0.500, 0.500, 0.500) and Rh at (0.000, 0.000, 0.500).

The density of states at the Fermi level is 4.1 states/eV/cell. As for the crystal system: tetragonal. For the final energy, the calculation gives -17.91 eV per cell.

Record 12
Crystalline Sc6CN3O2 at its relaxed geometry. Source: the Alexandria database, functional PBE.

The structure belongs to space group C2/m (No. 12); the cell edges are 5.551, 9.605 and 5.550 Å and the angles 90.00°, 109.50° and 90.00°. Symmetry generates all atoms from Sc at (0.243, 0.000, 0.246), Sc at (0.249, 0.164, 0.757), C at (0.000, 0.000, 0.500), N at (0.000, 0.167, 0.000), N at (0.000, 0.500, 0.000) and O at (0.000, 0.334, 0.500).

The density of states at the Fermi level is 5.5 states/eV/cell. As for the crystal system: monoclinic. The formation energy from raw total energies comes out at -2151 meV per atom.

- Which formula does entry 8 have?
  BeSn3Br